--- w ---
DFT (GGA-PBE) results for a relaxed structure of BaNaGa.

Calculated values
- Symmetry: F-43m (216)
- Total moment: 1.24 μB/f.u.

```
BaNaGa
1.0
-4.359 2.258 -2.539
-2.188 -2.455 -4.442
-4.956 -2.421 0.341
Na Ba Ga
1 1 1
direct
0.500 0.500 0.500
0.000 0.000 0.000
0.250 0.250 0.250
```

--- x ---
DFT (GGA-PBE) results for a relaxed structure of BaNaGa.

Calculated values
- Symmetry: I4mm (107)
- Total moment: 0.00 μB/f.u.

```
BaNaGa
1.0
-2.930 0.008 2.996
-1.155 -3.870 -1.119
5.873 -0.297 2.814
Na Ba Ga
1 1 1
direct
0.305 0.305 0.610
0.015 0.015 0.030
0.680 0.680 0.360
```

Which of them is the most stable? Correct choice: x.

--- w ---
DFT (GGA-PBE) results for a relaxed structure of Ba3NaGa.

Calculated values
- Symmetry: P2_1/c (14)
- Total moment: 0.00 μB/f.u.

```
Ba3NaGa
1.0
8.139 0.000 0.000
0.000 11.632 -2.282
0.000 -0.912 9.734
Ba Na Ga
12 4 4
direct
0.837 0.599 0.924
0.163 0.401 0.076
0.337 0.901 0.076
0.663 0.099 0.924
0.515 0.659 0.226
0.485 0.341 0.774
0.015 0.841 0.774
0.985 0.159 0.226
0.763 0.482 0.447
0.237 0.518 0.553
0.263 0.018 0.553
0.737 0.982 0.447
0.029 0.730 0.287
0.971 0.270 0.713
0.529 0.770 0.713
0.471 0.230 0.287
0.725 0.391 0.098
0.275 0.609 0.902
0.225 0.109 0.902
0.775 0.891 0.098
```

--- x ---
DFT (GGA-PBE) results for a relaxed structure of Ba3NaGa.

Calculated values
- Symmetry: Pm-3m (221)
- Total moment: 0.00 μB/f.u.

```
Ba3NaGa
1.0
-2.945 5.860 0.717
0.216 -0.694 6.557
5.899 2.950 0.118
Na Ba Ga
1 3 1
direct
0.500 0.500 0.500
0.000 0.500 0.000
0.000 0.000 0.500
0.500 0.000 0.000
0.000 0.000 0.000
```

Which of them is the most stable? Correct choice: w.

--- w ---
DFT (GGA-PBE) results for a relaxed structure of BaNaSr2Ga.

Calculated values
- Symmetry: P4/mmm (123)
- Total moment: 0.00 μB/f.u.

```
BaNaSr2Ga
1.0
6.334 0.000 0.000
0.000 6.334 0.000
0.000 0.000 6.451
Sr Ba Ga Na
2 1 1 1
direct
0.000 0.500 0.000
0.500 0.000 0.000
0.000 0.000 0.500
0.000 0.000 0.000
0.500 0.500 0.500
```

--- x ---
DFT (GGA-PBE) results for a relaxed structure of BaNaSr2Ga.

Calculated values
- Symmetry: P4/mmm (123)
- Total moment: 0.00 μB/f.u.

```
BaNaSr2Ga
1.0
6.312 0.000 0.000
0.000 6.312 0.000
0.000 0.000 6.004
Sr Ba Ga Na
2 1 1 1
direct
0.000 0.500 0.000
0.500 0.000 0.000
0.500 0.500 0.500
0.000 0.000 0.000
0.000 0.000 0.500
```

Which of them is the most stable? Correct choice: w.